CrFeGe2 after structural relaxation. Source: the Alexandria database, functional PBE.

Cell: 2.8685 2.8685 22.6716 Å, 90.00 90.00 120.00°
Closest atoms and distances in Å follow each position.
Space group R3m (No. 160, hexagonal axes)
Unique sites:
Cr1 0.0000 0.0000 0.0000  6 Ge 2.54-2.57
Fe1 0.0000 0.0000 0.1640  6 Ge 2.44-2.50
Ge1 0.0000 0.0000 0.5798  3 Fe 2.50, 3 Cr 2.57
Ge2 0.0000 0.0000 0.7517  3 Fe 2.44, 3 Cr 2.54

Computed properties:
Crystal system ... trigonal
ΔH_f (0 K) ... 0.1121 eV per atom

=====

LiHgSe2 after structural relaxation. Source: the Alexandria database, functional PBE.

Cell: 2.9756 5.4789 5.4157 Å, 90.00 90.09 90.00°
Closest atoms and distances in Å follow each position.
Space group Pm (No. 6)
Unique sites:
Li1 0.0000 0.0000 0.0000  4 Se 2.73-2.76, 2 Li 2.98
Hg1 0.7058 0.5000 0.5519  4 Se 2.78-2.84, 2 Hg 2.98
Se1 0.4974 0.0000 0.5770  2 Li 2.73, 2 Hg 2.81, 2 Se 2.98
Se2 0.9564 0.5000 0.0582  2 Li 2.76, 2 Hg 2.78-2.84, 2 Se 2.98

Computed properties:
Crystal system ... monoclinic
Energy relative to the elements, uncorrected ... -0.379 eV per atom

=====

Nd2ZnPtO6 after structural relaxation. Source: the Alexandria database, functional PBE.

Cell: 5.5104 5.8593 9.5958 Å, 90.00 124.84 90.00°
Closest atoms and distances in Å follow each position.
Space group P2_1/c (No. 14)
Unique sites:
Nd1 0.2305 0.0703 0.2506  6 O 2.36-2.60
Zn1 0.5000 0.0000 0.0000  6 O 2.08-2.14
Pt1 0.0000 0.0000 0.5000  6 O 2.05-2.07
O1 0.1316 0.2035 0.9444  1 Pt 2.07, 1 Zn 2.14
O2 0.2496 0.6947 0.9467  1 Pt 2.06, 1 Zn 2.14
O3 0.3551 0.0355 0.7477  1 Pt 2.05, 1 Zn 2.08

Computed properties:
Crystal system ... monoclinic
Energy relative to the elements, uncorrected ... -2.158 eV per atom

=====

Pa2CuHgO8 after structural relaxation. Source: the Alexandria database, functional PBE.

Cell: 5.1864 5.1864 6.5316 Å, 90.00 90.00 120.00°
Closest atoms and distances in Å follow each position.
Space group P-3m1 (No. 164)
Unique sites:
Pa1 0.3333 0.6667 0.3502  1 O 1.88
Cu1 0.0000 0.0000 0.5000  6 O 1.88
Hg1 0.0000 0.0000 0.0000  6 O 2.70
O1 0.1729 0.3458 0.6627  1 Cu 1.88
O2 0.3333 0.6667 0.0630  1 Pa 1.88

Computed properties:
Crystal system ... trigonal
Energy relative to the elements, uncorrected ... -1.788 eV per atom

=====

Re4Os after structural relaxation. Source: the Alexandria database, functional PBE.

Cell: 4.1916 13.0794 2.7455 Å, 90.00 90.00 90.00°
Closest atoms and distances in Å follow each position.
Space group Cmmm (No. 65)
Unique sites:
Re1 0.0000 0.1061 0.0000  9 Re 2.75-2.90, 4 Os 2.86
Re2 0.0000 0.3017 0.5000  8 Re 2.49-2.78, 1 Os 2.59
Os1 0.0000 0.5000 0.5000  10 Re 2.59-2.86, 2 Os 2.75

Computed properties:
Crystal system ... orthorhombic
ΔH_f (0 K) ... 0.1799 eV per atom

=====

ReAgP2S after structural relaxation. Source: the Alexandria database, functional PBE.

Cell: 4.7204 4.7204 4.7431 Å, 90.00 90.00 90.00°
Closest atoms and distances in Å follow each position.
Space group P4/mmm (No. 123)
Unique sites:
Re1 0.0000 0.0000 0.0000  4 S 3.34, 8 P 3.35
Ag1 0.5000 0.5000 0.5000  4 P 2.36, 2 S 2.37
P1 0.0000 0.5000 0.5000  2 Ag 2.36
S1 0.5000 0.5000 0.0000  2 Ag 2.37

Computed properties:
Crystal system ... tetragonal
Energy relative to the elements, uncorrected ... 1.854 eV per atom

=====

CsCu2SiTe4 after structural relaxation. Source: the Alexandria database, functional PBE.

Cell: 6.8969 9.2801 9.5528 Å, 90.00 90.00 90.00°
Closest atoms and distances in Å follow each position.
Space group I222 (No. 23)
Unique sites:
Cs1 0.0000 0.0000 0.0000  8 Te 3.95-3.99
Cu1 0.0000 0.5000 0.1290  1 Cu 2.46, 2 Te 2.47
Si1 0.0000 0.0000 0.5000  4 Te 2.54
Te1 0.2167 0.1623 0.3538  1 Cu 2.47, 1 Si 2.54

Computed properties:
Crystal system ... orthorhombic
Energy relative to the elements, uncorrected ... -0.193 eV per atom

=====

MoSe2BrN after structural relaxation. Source: the Alexandria database, functional PBE.

Cell: 5.1015 5.1015 3.8409 Å, 90.00 90.00 90.00°
Closest atoms and distances in Å follow each position.
Space group P4/mmm (No. 123)
Unique sites:
Mo1 0.0000 0.0000 0.0000  2 N 1.92
Se1 0.0000 0.5000 0.0000  2 Mo 2.55
Br1 0.5000 0.5000 0.5000  8 Se 3.19
N1 0.0000 0.0000 0.5000  2 Mo 1.92

Computed properties:
Crystal system ... tetragonal
Energy relative to the elements, uncorrected ... 0.323 eV per atom

=====

no.,magnetic moment (μB per cell),E_tot (eV per atom),DOS(E_F) (states/eV/atom)
1,7.85,-6.72,0.88
2,0.00,-2.68,0.06
3,0.00,-6.82,0.00
4,0.00,-7.04,0.28
5,0.00,-12.02,0.81
6,2.84,-4.20,0.62
7,0.00,-3.57,0.98
8,0.00,-5.24,0.92